--- A ---
## Tb6Ir2Ru (PBE)

Data for a relaxed Tb6Ir2Ru crystal.

Cell: 6.6535 7.3286 11.4727 Å, 90.00 122.92 90.00°
Closest atoms and distances in Å follow each position.
Space group P2_1/c (No. 14)
Unique sites:
1 Tb 0.0822 0.0397 0.2435 (multiplicity 4)  1 Ru 2.75, 2 Ir 2.80-2.82
2 Tb 0.2327 0.6664 0.0765 (multiplicity 4)  1 Ru 2.67, 1 Ir 2.92
3 Tb 0.3915 0.1732 0.0676 (multiplicity 4)  1 Ru 2.73, 1 Ir 2.84
4 Ir 0.3185 0.1291 0.7786 (multiplicity 4)  7 Tb 2.80-3.10
5 Ru 0.5000 0.0000 0.5000 (multiplicity 2)  6 Tb 2.67-2.75

Properties
The crystal system is monoclinic. Its density of states at the Fermi level is 12.9 states/eV/cell.


--- B ---
## Tb6Ir2Ru (PBE)

Data for a relaxed Tb6Ir2Ru crystal.

Cell: 4.7931 6.8011 14.4826 Å, 90.00 90.00 90.00°
Closest atoms and distances in Å follow each position.
Space group Immm (No. 71)
Unique sites:
1 Tb 0.0000 0.2487 0.0000 (multiplicity 4)  2 Ru 2.93, 2 Ir 2.96
2 Tb 0.0000 0.2508 0.3337 (multiplicity 8)  3 Ir 2.94-2.95, 1 Ru 2.94
3 Ir 0.0000 0.5000 0.1670 (multiplicity 4)  8 Tb 2.94-2.96
4 Ru 0.0000 0.5000 0.5000 (multiplicity 2)  8 Tb 2.93-2.94

Properties
The crystal system is orthorhombic. Its density of states at the Fermi level is 13.0 states/eV/cell.


Verdict on stability: B comes out on top.


--- A ---
## Tb6IrRu2 (PBE)

Data for a relaxed Tb6IrRu2 crystal.

Cell: 6.6318 7.3681 11.5120 Å, 90.00 123.58 90.00°
Closest atoms and distances in Å follow each position.
Space group P2_1/c (No. 14)
Unique sites:
1 Tb 0.0771 0.0475 0.2410 (multiplicity 4)  1 Ir 2.76, 2 Ru 2.77-2.78
2 Tb 0.2270 0.6703 0.0739 (multiplicity 4)  1 Ir 2.70, 2 Ru 2.98-2.99
3 Tb 0.3970 0.1718 0.0707 (multiplicity 4)  1 Ir 2.76, 1 Ru 2.81
4 Ir 0.5000 0.0000 0.5000 (multiplicity 2)  6 Tb 2.70-2.76
5 Ru 0.3079 0.1239 0.7739 (multiplicity 4)  5 Tb 2.77-2.99

Properties
The crystal system is monoclinic. Its density of states at the Fermi level is 10.6 states/eV/cell.


--- B ---
## Tb6IrRu2 (PBE)

Data for a relaxed Tb6IrRu2 crystal.

Cell: 4.8146 13.2438 14.4405 Å, 90.00 90.00 90.00°
Closest atoms and distances in Å follow each position.
Space group Fmmm (No. 69)
Unique sites:
1 Tb 0.0000 0.1267 0.0000 (multiplicity 8)  2 Ir 2.93, 2 Ru 2.94
2 Tb 0.0000 0.1267 0.3327 (multiplicity 16)  3 Ru 2.92-2.93, 1 Ir 2.94
3 Ir 0.0000 0.0000 0.5000 (multiplicity 4)  8 Tb 2.93-2.94
4 Ru 0.0000 0.0000 0.1671 (multiplicity 8)  8 Tb 2.92-2.94

Properties
The crystal system is orthorhombic. Its density of states at the Fermi level is 21.1 states/eV/cell.


Verdict on stability: B comes out on top.